# 1
# PBE-GGA Ac5La4Y2, optimized geometry
data_Ac5La4Y2
_chemical_formula_sum 'Ac5 La4 Y2'
_cell_length_a 9.498
_cell_length_b 3.705
_cell_length_c 12.645
_cell_angle_alpha 90.00
_cell_angle_beta 91.51
_cell_angle_gamma 90.00
_space_group_name_H-M_alt 'P 1'
_space_group_IT_number 1
loop_
_space_group_symop_operation_xyz
'x,y,z'
loop_
_atom_site_label
_atom_site_fract_x
_atom_site_fract_y
_atom_site_fract_z
_atom_site_occupancy
Ac1 0.000 0.000 0.000 1
Ac2 0.196 0.000 0.530 1
Ac3 0.288 0.000 0.821 1
Ac4 0.712 0.000 0.179 1
Ac5 0.804 0.000 0.470 1
La1 0.075 0.500 0.268 1
La2 0.464 0.500 0.355 1
La3 0.536 0.500 0.645 1
La4 0.925 0.500 0.732 1
Y1 0.349 0.000 0.115 1
Y2 0.651 0.000 0.885 1
# Total energy in eV per atom: -4.685
# ΔE_f in eV per atom: 0.149


# 2
# PBE-GGA Ac5La2Y, optimized geometry
data_Ac5La2Y
_chemical_formula_sum 'Ac10 La4 Y2'
_cell_length_a 7.004
_cell_length_b 7.004
_cell_length_c 17.998
_cell_angle_alpha 90.00
_cell_angle_beta 90.00
_cell_angle_gamma 130.40
_space_group_name_H-M_alt 'P 1'
_space_group_IT_number 1
loop_
_space_group_symop_operation_xyz
'x,y,z'
loop_
_atom_site_label
_atom_site_fract_x
_atom_site_fract_y
_atom_site_fract_z
_atom_site_occupancy
Ac1 0.012 0.988 0.750 1
Ac2 0.139 0.861 0.046 1
Ac3 0.139 0.861 0.454 1
Ac4 0.444 0.556 0.099 1
Ac5 0.444 0.556 0.401 1
Ac6 0.556 0.444 0.599 1
Ac7 0.556 0.444 0.901 1
Ac8 0.861 0.139 0.546 1
Ac9 0.861 0.139 0.954 1
Ac10 0.988 0.012 0.250 1
La1 0.258 0.742 0.643 1
La2 0.258 0.742 0.857 1
La3 0.742 0.258 0.143 1
La4 0.742 0.258 0.357 1
Y1 0.263 0.737 0.250 1
Y2 0.737 0.263 0.750 1
# Total energy in eV per atom: -4.497
# ΔE_f in eV per atom: 0.110


# 3
# PBE-GGA Ac3LaY2, optimized geometry
data_Ac3LaY2
_chemical_formula_sum 'Ac6 La2 Y4'
_cell_length_a 7.116
_cell_length_b 7.116
_cell_length_c 12.028
_cell_angle_alpha 114.98
_cell_angle_beta 114.98
_cell_angle_gamma 63.24
_space_group_name_H-M_alt 'P 1'
_space_group_IT_number 1
loop_
_space_group_symop_operation_xyz
'x,y,z'
loop_
_atom_site_label
_atom_site_fract_x
_atom_site_fract_y
_atom_site_fract_z
_atom_site_occupancy
Ac1 0.245 0.755 0.750 1
Ac2 0.323 0.334 0.915 1
Ac3 0.334 0.323 0.415 1
Ac4 0.666 0.677 0.585 1
Ac5 0.677 0.666 0.085 1
Ac6 0.755 0.245 0.250 1
La1 0.248 0.752 0.250 1
La2 0.752 0.248 0.750 1
Y1 0.155 0.162 0.580 1
Y2 0.162 0.155 0.080 1
Y3 0.838 0.845 0.920 1
Y4 0.845 0.838 0.420 1
# Total energy in eV per atom: -4.940
# ΔE_f in eV per atom: 0.090


# 4
# PBE-GGA Ac8La2Y, optimized geometry
data_Ac8La2Y
_chemical_formula_sum 'Ac8 La2 Y1'
_cell_length_a 10.244
_cell_length_b 10.244
_cell_length_c 10.244
_cell_angle_alpha 145.55
_cell_angle_beta 127.72
_cell_angle_gamma 64.13
_space_group_name_H-M_alt 'P 1'
_space_group_IT_number 1
loop_
_space_group_symop_operation_xyz
'x,y,z'
loop_
_atom_site_label
_atom_site_fract_x
_atom_site_fract_y
_atom_site_fract_z
_atom_site_occupancy
Ac1 0.154 0.362 0.792 1
Ac2 0.160 0.160 0.000 1
Ac3 0.294 0.000 0.294 1
Ac4 0.430 0.638 0.792 1
Ac5 0.570 0.362 0.208 1
Ac6 0.706 0.000 0.706 1
Ac7 0.840 0.840 0.000 1
Ac8 0.846 0.638 0.208 1
La1 0.299 0.799 0.500 1
La2 0.701 0.201 0.500 1
Y1 0.000 0.500 0.500 1
# Total energy in eV per atom: -4.358
# ΔE_f in eV per atom: 0.113


# 5
# PBE-GGA AcLa8Y4, optimized geometry
data_AcLa8Y4
_chemical_formula_sum 'Ac1 La8 Y4'
_cell_length_a 8.019
_cell_length_b 8.019
_cell_length_c 8.019
_cell_angle_alpha 96.42
_cell_angle_beta 96.42
_cell_angle_gamma 96.42
_space_group_name_H-M_alt 'P 1'
_space_group_IT_number 1
loop_
_space_group_symop_operation_xyz
'x,y,z'
loop_
_atom_site_label
_atom_site_fract_x
_atom_site_fract_y
_atom_site_fract_z
_atom_site_occupancy
Ac1 0.000 0.000 0.000 1
La1 0.171 0.667 0.667 1
La2 0.268 0.268 0.268 1
La3 0.333 0.333 0.829 1
La4 0.333 0.829 0.333 1
La5 0.667 0.171 0.667 1
La6 0.667 0.667 0.171 1
La7 0.732 0.732 0.732 1
La8 0.829 0.333 0.333 1
Y1 0.000 0.000 0.500 1
Y2 0.000 0.500 0.000 1
Y3 0.500 0.000 0.000 1
Y4 0.500 0.500 0.500 1
# Total energy in eV per atom: -4.937
# ΔE_f in eV per atom: 0.400


# 6
# PBE-GGA Ac2La2Y15, optimized geometry
data_Ac2La2Y15
_chemical_formula_sum 'Ac2 La2 Y15'
_cell_length_a 8.899
_cell_length_b 8.899
_cell_length_c 8.899
_cell_angle_alpha 81.07
_cell_angle_beta 81.07
_cell_angle_gamma 81.07
_space_group_name_H-M_alt 'P 1'
_space_group_IT_number 1
loop_
_space_group_symop_operation_xyz
'x,y,z'
loop_
_atom_site_label
_atom_site_fract_x
_atom_site_fract_y
_atom_site_fract_z
_atom_site_occupancy
Ac1 0.115 0.115 0.115 1
Ac2 0.885 0.885 0.885 1
La1 0.336 0.336 0.336 1
La2 0.664 0.664 0.664 1
Y1 0.000 0.000 0.500 1
Y2 0.000 0.306 0.694 1
Y3 0.000 0.500 0.000 1
Y4 0.000 0.694 0.306 1
Y5 0.156 0.634 0.634 1
Y6 0.306 0.000 0.694 1
Y7 0.306 0.694 0.000 1
Y8 0.366 0.366 0.844 1
Y9 0.366 0.844 0.366 1
Y10 0.500 0.000 0.000 1
Y11 0.634 0.156 0.634 1
Y12 0.634 0.634 0.156 1
Y13 0.694 0.000 0.306 1
Y14 0.694 0.306 0.000 1
Y15 0.844 0.366 0.366 1
# Total energy in eV per atom: -5.786
# ΔE_f in eV per atom: 0.268


# 7
# PBE-GGA Ac6La8Y, optimized geometry
data_Ac6La8Y
_chemical_formula_sum 'Ac6 La8 Y1'
_cell_length_a 9.283
_cell_length_b 9.283
_cell_length_c 9.283
_cell_angle_alpha 62.70
_cell_angle_beta 62.70
_cell_angle_gamma 62.70
_space_group_name_H-M_alt 'P 1'
_space_group_IT_number 1
loop_
_space_group_symop_operation_xyz
'x,y,z'
loop_
_atom_site_label
_atom_site_fract_x
_atom_site_fract_y
_atom_site_fract_z
_atom_site_occupancy
Ac1 0.043 0.590 0.744 1
Ac2 0.256 0.957 0.410 1
Ac3 0.410 0.256 0.957 1
Ac4 0.590 0.744 0.043 1
Ac5 0.744 0.043 0.590 1
Ac6 0.957 0.410 0.256 1
La1 0.074 0.074 0.074 1
La2 0.204 0.611 0.263 1
La3 0.263 0.204 0.611 1
La4 0.389 0.737 0.796 1
La5 0.611 0.263 0.204 1
La6 0.737 0.796 0.389 1
La7 0.796 0.389 0.737 1
La8 0.926 0.926 0.926 1
Y1 0.500 0.500 0.500 1
# Total energy in eV per atom: -4.611
# ΔE_f in eV per atom: 0.091


# 8
# PBE-GGA Ac2La9Y, optimized geometry
data_Ac2La9Y
_chemical_formula_sum 'Ac2 La9 Y1'
_cell_length_a 5.318
_cell_length_b 5.318
_cell_length_c 15.909
_cell_angle_alpha 90.00
_cell_angle_beta 90.00
_cell_angle_gamma 90.00
_space_group_name_H-M_alt 'P 1'
_space_group_IT_number 1
loop_
_space_group_symop_operation_xyz
'x,y,z'
loop_
_atom_site_label
_atom_site_fract_x
_atom_site_fract_y
_atom_site_fract_z
_atom_site_occupancy
Ac1 0.000 0.000 0.169 1
Ac2 0.000 0.000 0.831 1
La1 0.000 0.500 0.000 1
La2 0.000 0.500 0.338 1
La3 0.000 0.500 0.662 1
La4 0.500 0.000 0.000 1
La5 0.500 0.000 0.338 1
La6 0.500 0.000 0.662 1
La7 0.500 0.500 0.170 1
La8 0.500 0.500 0.500 1
La9 0.500 0.500 0.830 1
Y1 0.000 0.000 0.500 1
# Total energy in eV per atom: -4.906
# ΔE_f in eV per atom: 0.013


# 9
# PBE-GGA Ac12LaY5, optimized geometry
data_Ac12LaY5
_chemical_formula_sum 'Ac12 La1 Y5'
_cell_length_a 11.600
_cell_length_b 11.600
_cell_length_c 6.699
_cell_angle_alpha 106.49
_cell_angle_beta 106.49
_cell_angle_gamma 59.72
_space_group_name_H-M_alt 'P 1'
_space_group_IT_number 1
loop_
_space_group_symop_operation_xyz
'x,y,z'
loop_
_atom_site_label
_atom_site_fract_x
_atom_site_fract_y
_atom_site_fract_z
_atom_site_occupancy
Ac1 0.002 0.331 0.499 1
Ac2 0.164 0.836 0.000 1
Ac3 0.168 0.498 0.000 1
Ac4 0.331 0.002 0.499 1
Ac5 0.334 0.666 0.500 1
Ac6 0.498 0.168 0.000 1
Ac7 0.502 0.832 0.000 1
Ac8 0.666 0.334 0.500 1
Ac9 0.669 0.998 0.501 1
Ac10 0.832 0.502 0.000 1
Ac11 0.836 0.164 0.000 1
Ac12 0.998 0.669 0.501 1
La1 0.500 0.500 0.000 1
Y1 0.000 0.000 0.500 1
Y2 0.167 0.167 0.000 1
Y3 0.333 0.333 0.496 1
Y4 0.667 0.667 0.504 1
Y5 0.833 0.833 0.000 1
# Total energy in eV per atom: -4.763
# ΔE_f in eV per atom: 0.045